DFT (PBE) results for a geometry-optimized MnVReGe structure.

a b c (Å): 5.9613 5.9613 5.9613
angles (deg): 90.00 90.00 90.00
Closest atoms and distances in Å follow each position.
Fractional positions:
Mn (0.0000, 0.0000, 0.0000)  4 V 2.58, 4 Ge 2.58
Mn (0.0000, 0.5000, 0.5000)  4 Ge 2.58, 4 V 2.58
Mn (0.5000, 0.0000, 0.5000)  4 Ge 2.58, 4 V 2.58
Mn (0.5000, 0.5000, 0.0000)  4 Ge 2.58, 4 V 2.58
V (0.2500, 0.2500, 0.7500)  4 Mn 2.58, 4 Re 2.58
V (0.2500, 0.7500, 0.2500)  4 Mn 2.58, 4 Re 2.58
V (0.7500, 0.2500, 0.2500)  4 Mn 2.58, 4 Re 2.58
V (0.7500, 0.7500, 0.7500)  4 Mn 2.58, 4 Re 2.58
Re (0.0000, 0.0000, 0.5000)  4 Ge 2.58, 4 V 2.58
Re (0.0000, 0.5000, 0.0000)  4 Ge 2.58, 4 V 2.58
Re (0.5000, 0.0000, 0.0000)  4 Ge 2.58, 4 V 2.58
Re (0.5000, 0.5000, 0.5000)  4 Ge 2.58, 4 V 2.58
Ge (0.2500, 0.2500, 0.2500)  4 Mn 2.58, 4 Re 2.58
Ge (0.2500, 0.7500, 0.7500)  4 Mn 2.58, 4 Re 2.58
Ge (0.7500, 0.2500, 0.7500)  4 Mn 2.58, 4 Re 2.58
Ge (0.7500, 0.7500, 0.2500)  4 Mn 2.58, 4 Re 2.58

Calculated values
The total energy comes out at -8.9469 eV per atom. Its crystal system is cubic. As for the total magnetization: 2.088 Bohr magnetons per cell. Its energy of formation from the pure elements is -0.11 eV/atom.



DFT (PBE) results for a geometry-optimized Ce2ZnGe structure.

a b c (Å): 4.6511 4.6511 4.1787
angles (deg): 90.00 90.00 90.00
Closest atoms and distances in Å follow each position.
Fractional positions:
Ce (0.0000, 0.5000, 0.0000)  4 Ge 3.13, 4 Zn 3.13, 4 Ce 3.29
Ce (0.5000, 0.0000, 0.0000)  4 Ge 3.13, 4 Zn 3.13, 4 Ce 3.29
Zn (0.0000, 0.0000, 0.5000)  8 Ce 3.13, 4 Ge 3.29
Ge (0.5000, 0.5000, 0.5000)  8 Ce 3.13, 4 Zn 3.29

Calculated values
The total energy comes out at -4.8942 eV per atom. Its crystal system is tetragonal. As for the total magnetization: 0.552 Bohr magnetons per cell. Its energy of formation from the pure elements is -0.45 eV/atom.



What is the energy of formation from the pure elements in the first record? -0.11 eV/atom



Which formula does entry 1 have? MnVReGe



Which of these has the lowest energy of formation from the pure elements? Ce2ZnGe